[1]
VASP calculation (PBE) on RbCa2ZnSn after structural relaxation.

The structure in extended XYZ format:
```
5
Lattice="6.166 0.000 0.000 0.000 5.435 0.000 0.000 0.000 6.166" Properties=species:S:1:pos:R:3 pbc="T T T"
Zn 0.000 2.717 0.000
Ca 0.000 0.000 3.083
Ca 3.083 0.000 0.000
Sn 3.083 2.717 3.083
Rb 0.000 0.000 0.000
```

Computed properties:
DOS at the Fermi energy   0.706 states/eV/atom
E   -1.13 eV/atom
Space-group type   No. 123

***

[2]
VASP calculation (PBE) on Ac2Sb3PtRh4 after structural relaxation.

The structure in extended XYZ format:
```
10
Lattice="4.526 0.000 0.000 0.000 4.526 0.000 0.000 0.000 10.854" Properties=species:S:1:pos:R:3 pbc="T T T"
Ac 2.263 0.000 2.839
Ac 0.000 2.263 8.016
Sb 0.000 0.000 5.427
Sb 2.263 0.000 9.460
Sb 0.000 2.263 1.395
Pt 2.263 2.263 5.427
Rh 2.263 2.263 0.000
Rh 0.000 0.000 0.000
Rh 2.263 0.000 6.871
Rh 0.000 2.263 3.983
```

Computed properties:
DOS at the Fermi energy   1.003 states/eV/atom
E_form (uncorrected)   -17.68 kcal/mol of atoms
Space-group type   No. 115

***

[3]
VASP calculation (PBE) on Pr7Te4S4 after structural relaxation.

The structure in extended XYZ format:
```
30
Lattice="-0.230 2.400 6.789 -8.477 -5.379 5.437 6.765 -6.614 6.391" Properties=species:S:1:pos:R:3 pbc="T T T"
Pr -2.750 -4.652 9.197
Pr 0.807 -4.940 9.420
Pr -0.683 -4.317 5.326
Pr -1.259 -5.275 13.291
Pr -0.173 1.803 5.101
Pr -0.057 0.597 1.688
Pr -5.045 -1.388 7.965
Pr -3.662 -1.591 4.261
Pr 2.804 -2.115 4.666
Pr 3.731 -2.099 8.514
Pr 2.411 -6.261 6.118
Pr -4.123 -5.732 5.709
Pr -1.289 -7.881 10.388
Pr -0.654 -1.711 8.228
Te -2.425 0.674 7.325
Te -6.282 -3.652 4.901
Te 4.959 -4.563 5.604
Te 1.575 0.350 7.575
Te -5.880 -4.398 9.001
Te 3.938 -5.194 9.615
Te -0.379 -1.361 4.291
Te -1.564 -8.232 14.325
S -3.386 -7.342 8.215
S 1.559 -3.451 7.007
S -2.948 -3.086 6.725
S 1.121 -7.707 8.497
S -3.063 -1.886 10.120
S 1.006 -6.507 11.891
S -3.501 -6.141 11.609
S 1.444 -2.251 10.402
```

Computed properties:
DOS at the Fermi energy   0.391 states/eV/atom
E_form (uncorrected)   -37.33 kcal/mol of atoms
Space-group type   No. 139

***

[4]
VASP calculation (PBE) on CdO2F after structural relaxation.

The structure in extended XYZ format:
```
8
Lattice="-1.895 7.356 -1.386 -2.655 -2.411 -0.021 -0.558 0.581 3.846" Properties=species:S:1:pos:R:3 pbc="T T T"
Cd -1.768 5.884 -0.141
Cd -3.340 -0.358 2.580
O -2.569 4.092 1.337
O -2.349 1.237 -0.208
O -2.540 1.435 1.102
O -2.759 4.289 2.647
F -2.258 -1.522 0.906
F -2.850 7.048 1.533
```

Computed properties:
DOS at the Fermi energy   0.414 states/eV/atom
E_form (uncorrected)   -20.29 kcal/mol of atoms
Space-group type   No. 11

***

[5]
VASP calculation (PBE) on Ac3Mg2AlCu6 after structural relaxation.

The structure in extended XYZ format:
```
12
Lattice="-1.840 -0.081 -5.678 5.799 -0.630 1.267 -1.041 -8.651 0.460" Properties=species:S:1:pos:R:3 pbc="T T T"
Ac 2.608 -5.802 -0.763
Ac 0.310 -3.560 -3.188
Ac 0.000 0.000 0.000
Mg -0.307 -8.682 -2.915
Mg 3.225 -0.680 -1.035
Al -0.520 -4.325 0.230
Cu 3.263 -3.031 -2.382
Cu 1.538 -2.722 -0.460
Cu 4.066 -2.996 0.093
Cu 1.380 -6.640 -3.491
Cu -0.345 -6.330 -1.568
Cu -1.148 -6.365 -4.043
```

Computed properties:
DOS at the Fermi energy   0.540 states/eV/atom
E   -3.72 eV/atom
Space-group type   No. 164

***

[6]
VASP calculation (PBE) on TaTiTcOs after structural relaxation.

The structure in extended XYZ format:
```
4
Lattice="-0.092 2.239 -2.205 -3.245 2.058 2.224 3.040 2.351 2.260" Properties=species:S:1:pos:R:3 pbc="T T T"
Ta 0.000 0.000 0.000
Ti -0.103 2.204 2.242
Tc -1.668 2.148 0.009
Os 1.474 2.295 0.027
```

Computed properties:
DOS at the Fermi energy   0.205 states/eV/atom
E   -10.92 eV/atom
Space-group type   No. 47

***

[7]
VASP calculation (PBE) on GeSbPd2 after structural relaxation.

The structure in extended XYZ format:
```
8
Lattice="7.299 0.000 0.000 0.000 7.299 0.000 3.649 3.649 2.913" Properties=species:S:1:pos:R:3 pbc="T T T"
Sb 0.000 0.000 0.000
Sb 7.299 3.649 1.456
Ge 3.649 3.649 0.000
Ge 3.649 7.299 1.456
Pd 5.204 1.825 0.728
Pd 2.095 5.474 0.728
Pd 5.474 5.744 2.184
Pd 9.124 8.854 2.184
```

Computed properties:
DOS at the Fermi energy   0.529 states/eV/atom
E_form (uncorrected)   -2.73 kcal/mol of atoms
Space-group type   No. 122

***

[8]
VASP calculation (PBE) on Ba2MgAl after structural relaxation.

The structure in extended XYZ format:
```
4
Lattice="11.345 0.008 0.004 10.571 4.118 0.004 10.571 1.990 3.605" Properties=species:S:1:pos:R:3 pbc="T T T"
Al 24.365 4.586 2.711
Ba 0.224 0.042 0.025
Ba 16.019 3.015 1.782
Mg 8.122 1.529 0.904
```

Computed properties:
DOS at the Fermi energy   1.397 states/eV/atom
E   -2.11 eV/atom
Space-group type   No. 166

***

[9]
VASP calculation (PBE) on BeCoCu2 after structural relaxation.

The structure in extended XYZ format:
```
4
Lattice="8.154 0.003 0.002 7.775 2.457 0.002 7.775 1.201 2.144" Properties=species:S:1:pos:R:3 pbc="T T T"
Be 5.926 0.915 0.537
Co 17.778 2.745 1.610
Cu 23.586 3.642 2.136
Cu 11.971 1.848 1.084
```

Computed properties:
DOS at the Fermi energy   0.480 states/eV/atom
E   -4.70 eV/atom
Space-group type   No. 166

***

[10]
VASP calculation (PBE) on CsNaAg2 after structural relaxation.

The structure in extended XYZ format:
```
4
Lattice="0.000 4.167 4.167 4.167 0.000 4.167 4.167 4.167 0.000" Properties=species:S:1:pos:R:3 pbc="T T T"
Cs 4.167 4.167 4.167
Na 0.000 0.000 0.000
Ag 2.083 2.083 2.083
Ag 6.250 6.250 6.250
```

Computed properties:
DOS at the Fermi energy   0.229 states/eV/atom
E   -1.74 eV/atom
Space-group type   No. 225

***

[11]
VASP calculation (PBE) on BaPr4Pb4 after structural relaxation.

The structure in extended XYZ format:
```
18
Lattice="6.444 0.000 0.000 0.000 10.713 0.000 0.000 0.000 10.713" Properties=species:S:1:pos:R:3 pbc="T T T"
Ba 0.000 0.000 0.000
Ba 3.222 5.356 5.356
Pr 2.557 3.921 9.451
Pr 5.779 6.618 9.277
Pr 2.557 6.792 1.262
Pr 0.665 1.435 6.618
Pr 3.886 9.451 6.792
Pr 0.665 9.277 4.095
Pr 5.779 4.095 1.435
Pr 3.886 1.262 3.921
Pb 3.775 8.749 3.561
Pb 3.775 1.964 7.152
Pb 0.553 8.917 7.320
Pb 5.891 3.392 8.917
Pb 5.891 7.320 1.795
Pb 2.669 3.561 1.964
Pb 2.669 7.152 8.749
Pb 0.553 1.795 3.392
```

Computed properties:
DOS at the Fermi energy   0.556 states/eV/atom
E   -4.37 eV/atom
Space-group type   No. 86

***

[12]
VASP calculation (PBE) on K3TlHg3 after structural relaxation.

The structure in extended XYZ format:
```
14
Lattice="5.031 0.000 0.758 2.472 6.530 0.668 0.120 0.203 16.281" Properties=species:S:1:pos:R:3 pbc="T T T"
K 3.533 2.372 10.702
K 4.090 4.361 7.005
K 1.946 1.700 4.162
K 5.677 5.033 13.546
K 2.802 2.152 15.556
K 4.821 4.581 2.152
Tl 4.056 0.533 7.231
Tl 3.567 6.199 10.477
Hg 6.221 4.721 9.934
Hg 1.401 2.012 7.774
Hg 2.785 5.927 15.664
Hg 4.837 0.806 2.043
Hg 6.955 5.423 5.058
Hg 0.667 1.310 12.650
```

Computed properties:
DOS at the Fermi energy   0.599 states/eV/atom
E   -1.16 eV/atom
Space-group type   No. 12

***

[13]
VASP calculation (PBE) on Pm4S3 after structural relaxation.

The structure in extended XYZ format:
```
7
Lattice="5.664 0.000 0.000 0.000 5.664 0.000 0.000 0.000 5.664" Properties=species:S:1:pos:R:3 pbc="T T T"
Pm 0.000 0.000 0.000
Pm 0.000 2.832 2.832
Pm 2.832 0.000 2.832
Pm 2.832 2.832 0.000
S 0.000 2.832 0.000
S 0.000 0.000 2.832
S 2.832 0.000 0.000
```

Computed properties:
DOS at the Fermi energy   0.578 states/eV/atom
E_form (uncorrected)   -38.85 kcal/mol of atoms
Space-group type   No. 221

***

[14]
VASP calculation (PBE) on Mg2InGa2 after structural relaxation.

The structure in extended XYZ format:
```
10
Lattice="-4.791 -6.003 3.141 -0.999 -3.179 -7.599 2.546 -1.811 0.423" Properties=species:S:1:pos:R:3 pbc="T T T"
Mg -2.620 -4.953 -5.433
Mg -4.784 -7.215 -2.095
Mg -3.170 -4.229 0.974
Mg -1.007 -1.967 -2.364
Ga -0.179 -4.006 -4.322
Ga -2.745 -7.551 -4.050
Ga -3.065 -6.987 0.286
Ga -0.499 -3.442 0.015
In 0.000 0.000 0.000
In -2.895 -4.591 -2.229
```

Computed properties:
DOS at the Fermi energy   0.382 states/eV/atom
E   -2.44 eV/atom
Space-group type   No. 127

***

[15]
VASP calculation (PBE) on NaAg2CO4 after structural relaxation.

The structure in extended XYZ format:
```
16
Lattice="0.212 -6.844 0.213 2.608 -1.582 6.134 -6.613 4.887 -1.667" Properties=species:S:1:pos:R:3 pbc="T T T"
Na 1.304 -0.791 3.067
Na -1.791 -5.191 2.446
Ag 0.106 -3.422 0.106
Ag -3.201 -0.978 -0.727
Ag -3.307 2.444 -0.834
Ag 1.410 -4.213 3.173
C -1.897 -1.769 2.340
C -6.401 -1.956 -1.454
O -4.090 2.825 3.399
O -2.445 -2.680 1.842
O -1.348 -0.858 2.837
O 0.297 -6.363 1.281
O 1.584 -5.834 4.697
O -0.598 -4.221 4.146
O -3.196 0.683 0.533
O -5.378 2.296 -0.017
```

Computed properties:
DOS at the Fermi energy   0.394 states/eV/atom
E_form (uncorrected)   -15.90 kcal/mol of atoms
Space-group type   No. 74

***

[16]
VASP calculation (PBE) on MnGeAs3 after structural relaxation.

The structure in extended XYZ format:
```
5
Lattice="4.845 0.000 0.000 0.000 4.845 0.000 0.000 0.000 4.845" Properties=species:S:1:pos:R:3 pbc="T T T"
As 0.000 2.422 0.000
As 0.000 0.000 2.422
As 2.422 0.000 0.000
Mn 2.422 2.422 2.422
Ge 0.000 0.000 0.000
```

Computed properties:
DOS at the Fermi energy   1.116 states/eV/atom
E   -4.14 eV/atom
Space-group type   No. 221

***

[17]
VASP calculation (PBE) on Cu5PdAu4 after structural relaxation.

The structure in extended XYZ format:
```
10
Lattice="3.057 0.000 0.000 0.000 3.057 0.000 0.000 0.000 15.802" Properties=species:S:1:pos:R:3 pbc="T T T"
Cu 1.529 1.529 1.480
Cu 1.529 1.529 4.676
Cu 1.529 1.529 7.901
Cu 1.529 1.529 11.125
Cu 1.529 1.529 14.321
Pd 0.000 0.000 0.000
Au 0.000 0.000 3.063
Au 0.000 0.000 6.284
Au 0.000 0.000 9.517
Au 0.000 0.000 12.738
```

Computed properties:
DOS at the Fermi energy   0.256 states/eV/atom
E   -3.95 eV/atom
Space-group type   No. 123

***

[18]
VASP calculation (PBE) on In3Pb after structural relaxation.

The structure in extended XYZ format:
```
8
Lattice="6.152 0.000 0.000 0.000 6.152 0.000 0.000 0.000 6.152" Properties=species:S:1:pos:R:3 pbc="T T T"
In 4.614 3.076 0.000
In 1.538 3.076 0.000
In 0.000 4.614 3.076
In 0.000 1.538 3.076
In 3.076 0.000 1.538
In 3.076 0.000 4.614
Pb 0.000 0.000 0.000
Pb 3.076 3.076 3.076
```

Computed properties:
DOS at the Fermi energy   0.564 states/eV/atom
E   -2.92 eV/atom
Space-group type   No. 223